Entry 1:
Below is a relaxed structure of Li3AlAg, with properties calculated at the PBE-GGA level.

Cell lengths 4.7795, 4.7795, 4.7795 Å; angles 90.00, 90.00, 90.00 degrees
With the nearest neighbours (Å) after each atom.
Space group Pm-3m (No. 221)
Asymmetric unit:
1 Li 0.0000 0.0000 0.5000  2 Ag 2.39
2 Al 0.5000 0.5000 0.5000  12 Li 3.38
3 Ag 0.0000 0.0000 0.0000  6 Li 2.39

Values from the calculation:
Density of states at the Fermi level ... 2.14 states/eV/f.u.
E_form ... 0.254 eV per atom
Offset from the most stable computed form ... 214 kJ/mol of formula units



Entry 2:
Below is a relaxed structure of Li4AlAg2, with properties calculated at the PBE-GGA level.

Cell lengths 8.0543, 9.3016, 3.3012 Å; angles 90.00, 90.00, 90.00 degrees
With the nearest neighbours (Å) after each atom.
Space group Pbam (No. 55)
Asymmetric unit:
1 Li 0.1842 0.0009 0.0000  5 Li 2.90-2.97, 2 Ag 2.94-2.96, 2 Al 3.03
2 Li 0.2501 0.2510 0.5000  4 Ag 2.61, 4 Li 2.90
3 Al 0.0000 0.5000 0.5000  4 Ag 2.67
4 Ag 0.9999 0.2740 0.0000  4 Li 2.61, 2 Al 2.67

Values from the calculation:
Density of states at the Fermi level ... 1.82 states/eV/f.u.
E_form ... -0.106 eV per atom
Offset from the most stable computed form ... 19 kJ/mol of formula units



Entry 3:
Below is a relaxed structure of Li5Al2Ag12, with properties calculated at the PBE-GGA level.

Cell lengths 16.3276, 9.0598, 4.5949 Å; angles 90.00, 105.95, 90.00 degrees
With the nearest neighbours (Å) after each atom.
Space group C2/m (No. 12)
Asymmetric unit:
1 Li 0.0000 0.0000 0.0000  8 Ag 2.73-2.79
2 Li 0.1964 0.0000 0.1957  6 Ag 2.76-2.88, 3 Li 2.79-3.08
3 Li 0.2012 0.5000 0.2016  6 Ag 2.75-2.88, 2 Li 2.79-2.81
4 Al 0.0000 0.2461 0.5000  8 Ag 2.68-2.74
5 Ag 0.0909 0.5000 0.5922  2 Al 2.71, 3 Ag 2.83-2.85, 2 Li 2.87-2.88
6 Ag 0.0928 0.2622 0.0939  2 Al 2.71-2.74, 3 Li 2.75-2.88, 3 Ag 2.84-2.91
7 Ag 0.0947 0.0000 0.5938  2 Al 2.68, 4 Li 2.73-2.81, 3 Ag 2.83-2.97
8 Ag 0.2005 0.2526 0.7016  2 Li 2.76, 6 Ag 2.77-2.86

Values from the calculation:
Density of states at the Fermi level ... 4.66 states/eV/f.u.
E_form ... -0.124 eV per atom
Offset from the most stable computed form ... 0 kJ/mol of formula units



Entry 4:
Below is a relaxed structure of LiAl2Ag7, with properties calculated at the PBE-GGA level.

Cell lengths 7.5861, 12.6413, 4.6610 Å; angles 90.00, 90.00, 90.00 degrees
With the nearest neighbours (Å) after each atom.
Space group Cmmm (No. 65)
Asymmetric unit:
1 Li 0.0000 0.0000 0.0000  2 Ag 2.66
2 Al 0.0000 0.2977 0.5000  7 Ag 2.56-2.69
3 Ag 0.0000 0.2104 0.0000  2 Al 2.58, 1 Li 2.66
4 Ag 0.0000 0.5000 0.5000  2 Al 2.56, 4 Ag 2.81
5 Ag 0.1839 0.1154 0.5000  2 Al 2.64-2.69, 3 Ag 2.79-2.92

Values from the calculation:
Density of states at the Fermi level ... 3.42 states/eV/f.u.
E_form ... 0.159 eV per atom



Entry 5:
Below is a relaxed structure of Li3Al4Ag4, with properties calculated at the PBE-GGA level.

Cell lengths 2.8618, 4.5010, 14.0566 Å; angles 99.01, 90.52, 90.00 degrees
With the nearest neighbours (Å) after each atom.
Space group P-1 (No. 2)
Asymmetric unit:
1 Li 0.0000 0.0000 0.0000  2 Al 2.66, 4 Ag 2.81-2.82, 2 Li 2.86
2 Li 0.2495 0.3509 0.7041  4 Al 2.75-2.86, 6 Ag 2.76-2.95, 2 Li 2.86
3 Al 0.2499 0.7367 0.4734  6 Al 2.76-2.86, 4 Ag 2.80-2.81, 2 Li 2.84-2.86
4 Al 0.2930 0.9089 0.8187  3 Li 2.66-2.77, 6 Ag 2.74-2.91, 2 Al 2.86
5 Ag 0.2418 0.1773 0.3527  6 Al 2.74-2.82, 4 Li 2.76-2.80, 2 Ag 2.86
6 Ag 0.2497 0.5564 0.1108  4 Al 2.78-2.91, 4 Li 2.81-2.95, 2 Ag 2.86

Values from the calculation:
Density of states at the Fermi level ... 1.52 states/eV/f.u.
E_form ... -0.172 eV per atom
Offset from the most stable computed form ... 0 kJ/mol of formula units



Entry 6:
Below is a relaxed structure of LiAl5Ag2, with properties calculated at the PBE-GGA level.

Cell lengths 4.7125, 11.9064, 9.9669 Å; angles 90.00, 90.00, 90.00 degrees
With the nearest neighbours (Å) after each atom.
Space group Cmcm (No. 63)
Asymmetric unit:
1 Li 0.0000 0.2356 0.2500  6 Al 2.76-2.91, 4 Ag 2.93
2 Al 0.0000 0.0287 0.1213  4 Al 2.51-2.79, 1 Li 2.78
3 Al 0.0000 0.4031 0.0592  3 Al 2.59-2.86, 3 Ag 2.72-2.74, 1 Li 2.76
4 Al 0.0000 0.4083 0.7500  8 Al 2.79-3.08, 2 Ag 2.87, 2 Li 2.91
5 Ag 0.0000 0.2088 0.5886  6 Al 2.72-3.00, 2 Li 2.93

Values from the calculation:
Density of states at the Fermi level ... 2.53 states/eV/f.u.
E_form ... 0.011 eV per atom



Entry 7:
Below is a relaxed structure of Li3AlAg3, with properties calculated at the PBE-GGA level.

Cell lengths 6.2746, 9.2255, 8.6060 Å; angles 90.00, 90.60, 90.00 degrees
With the nearest neighbours (Å) after each atom.
Space group C2/m (No. 12)
Asymmetric unit:
1 Li 0.0000 0.1637 0.0000  6 Ag 2.78-2.82, 1 Li 3.02
2 Li 0.0000 0.2320 0.5000  6 Ag 2.67-2.88, 4 Al 2.80-2.82
3 Li 0.0319 0.5000 0.8122  5 Ag 2.84-2.91, 2 Al 2.93-3.06
4 Al 0.2084 0.5000 0.4818  1 Al 2.64, 2 Ag 2.66-2.67, 5 Li 2.80-2.93
5 Ag 0.0218 0.0000 0.2763  2 Al 2.66-2.67, 4 Ag 2.80-2.81, 5 Li 2.82-2.91
6 Ag 0.2436 0.2626 0.2494  6 Li 2.67-2.85, 2 Ag 2.80-2.81, 1 Al 2.98

Values from the calculation:
Density of states at the Fermi level ... 2.60 states/eV/f.u.
E_form ... -0.123 eV per atom
Offset from the most stable computed form ... 20 kJ/mol of formula units



Entry 8:
Below is a relaxed structure of Li7AlAg3, with properties calculated at the PBE-GGA level.

Cell lengths 5.8030, 5.8030, 6.7840 Å; angles 90.00, 90.00, 120.00 degrees
With the nearest neighbours (Å) after each atom.
Space group P3m1 (No. 156)
Asymmetric unit:
1 Li 0.0000 0.0000 0.0000  3 Ag 2.79, 9 Li 2.90-2.96
2 Li 0.1697 0.3393 0.6436  2 Ag 2.71, 7 Li 2.85-2.98, 2 Al 2.90
3 Li 0.5009 0.0019 0.0074  2 Ag 2.76, 8 Li 2.89-2.98, 1 Al 2.90
4 Al 0.6667 0.3333 0.6575  3 Ag 2.79, 9 Li 2.90
5 Ag 0.3319 0.1660 0.3300  5 Li 2.71-2.79, 1 Al 2.79, 4 Ag 2.89-2.91

Values from the calculation:
Density of states at the Fermi level ... 3.20 states/eV/f.u.
E_form ... -0.060 eV per atom
Offset from the most stable computed form ... 58 kJ/mol of formula units



Entry 9:
Below is a relaxed structure of LiAl5Ag6, with properties calculated at the PBE-GGA level.

Cell lengths 7.8597, 13.5297, 4.4731 Å; angles 90.00, 124.59, 90.00 degrees
With the nearest neighbours (Å) after each atom.
Space group C2/m (No. 12)
Asymmetric unit:
1 Li 0.0000 0.0000 0.0000  8 Ag 2.75-2.78
2 Al 0.0000 0.1635 0.5000  8 Ag 2.73-2.81
3 Al 0.0000 0.3338 0.0000  8 Ag 2.76-2.78
4 Al 0.0000 0.5000 0.5000  8 Ag 2.77-2.79
5 Ag 0.2480 0.0000 0.7480  6 Al 2.73-2.78, 2 Li 2.75-2.76
6 Ag 0.2486 0.1672 0.2484  7 Al 2.75-2.81, 1 Li 2.78

Values from the calculation:
Density of states at the Fermi level ... 1.55 states/eV/f.u.
E_form ... -0.089 eV per atom
Offset from the most stable computed form ... 0 kJ/mol of formula units



Entry 10:
Below is a relaxed structure of Li3AlAg, with properties calculated at the PBE-GGA level.

Cell lengths 4.8347, 5.1800, 7.0814 Å; angles 90.00, 97.84, 90.00 degrees
With the nearest neighbours (Å) after each atom.
Space group P2_1/m (No. 11)
Asymmetric unit:
1 Li 0.1548 0.0089 0.1853  3 Li 2.50-2.76, 2 Ag 2.74-2.75, 1 Al 2.74
2 Li 0.2445 0.7500 0.5281  1 Ag 2.64, 2 Li 2.76
3 Al 0.3167 0.2500 0.7487  3 Ag 2.71-2.81, 6 Li 2.74-3.02
4 Ag 0.3719 0.7500 0.9024  7 Li 2.64-2.83, 3 Al 2.71-2.81

Values from the calculation:
Density of states at the Fermi level ... 1.89 states/eV/f.u.
E_form ... -0.090 eV per atom
Offset from the most stable computed form ... 48 kJ/mol of formula units



Entry 11:
Below is a relaxed structure of Li4AlAg, with properties calculated at the PBE-GGA level.

Cell lengths 9.4956, 4.5693, 5.3412 Å; angles 90.00, 123.68, 90.00 degrees
With the nearest neighbours (Å) after each atom.
Space group C2/m (No. 12)
Asymmetric unit:
1 Li 0.1671 0.0000 0.4130  5 Li 2.63-2.68, 1 Al 2.93
2 Li 0.1688 0.0000 0.9125  5 Li 2.62-2.68, 1 Ag 2.91
3 Al 0.0000 0.5000 0.5000  2 Ag 2.67, 12 Li 2.93-2.97
4 Ag 0.0000 0.5000 0.0000  2 Al 2.67, 12 Li 2.91-2.97

Values from the calculation:
Density of states at the Fermi level ... 2.57 states/eV/f.u.
E_form ... -0.173 eV per atom
Offset from the most stable computed form ... 1 kJ/mol of formula units



Entry 12:
Below is a relaxed structure of LiAl3Ag, with properties calculated at the PBE-GGA level.

Cell lengths 5.3734, 5.3734, 20.9689 Å; angles 90.00, 90.00, 120.00 degrees
With the nearest neighbours (Å) after each atom.
Space group R-3m (No. 166, hexagonal axes)
Asymmetric unit:
1 Li 0.0000 0.0000 0.1937  1 Ag 2.51, 3 Al 2.65
2 Al 0.0022 0.5011 0.2419  3 Li 2.65-2.87, 4 Al 2.67-2.70, 1 Ag 2.79
3 Ag 0.0000 0.0000 0.3136  1 Li 2.51, 3 Al 2.79

Values from the calculation:
Density of states at the Fermi level ... 1.56 states/eV/f.u.
E_form ... 0.079 eV per atom
Offset from the most stable computed form ... 92 kJ/mol of formula units



Entry 13:
Below is a relaxed structure of LiAl4Ag4, with properties calculated at the PBE-GGA level.

Cell lengths 6.1129, 6.1129, 9.2469 Å; angles 90.00, 90.00, 90.00 degrees
With the nearest neighbours (Å) after each atom.
Space group P4_2/nmc (No. 137, origin choice 2)
Asymmetric unit:
1 Li 0.2500 0.7500 0.2500  4 Al 3.16, 8 Ag 3.43
2 Al 0.0239 0.2500 0.0393  5 Ag 2.66-2.72, 1 Al 2.76
3 Ag 0.0270 0.2500 0.3336  5 Al 2.66-2.72, 3 Ag 2.73-2.85

Values from the calculation:
Density of states at the Fermi level ... 4.04 states/eV/f.u.
E_form ... 0.040 eV per atom



Entry 14:
Below is a relaxed structure of LiAl4Ag5, with properties calculated at the PBE-GGA level.

Cell lengths 8.7554, 8.7554, 4.9329 Å; angles 90.00, 90.00, 90.00 degrees
With the nearest neighbours (Å) after each atom.
Space group I4 (No. 79)
Asymmetric unit:
1 Li 0.0000 0.0000 0.0000  2 Ag 2.46-2.48
2 Al 0.0926 0.6187 0.1395  5 Ag 2.57-2.72, 1 Al 2.64
3 Ag 0.0000 0.0000 0.5017  2 Li 2.46-2.48
4 Ag 0.1661 0.7140 0.6393  5 Al 2.57-2.72

Values from the calculation:
Density of states at the Fermi level ... 1.85 states/eV/f.u.
E_form ... 0.026 eV per atom



Entry 15:
Below is a relaxed structure of Li5AlAg, with properties calculated at the PBE-GGA level.

Cell lengths 4.1699, 4.1699, 7.4880 Å; angles 90.00, 90.00, 90.00 degrees
With the nearest neighbours (Å) after each atom.
Space group P4/mmm (No. 123)
Asymmetric unit:
1 Li 0.0000 0.0000 0.0000  8 Li 2.91, 4 Al 2.95
2 Li 0.0000 0.5000 0.2702  2 Ag 2.70, 6 Li 2.91-2.95, 2 Al 2.91
3 Al 0.5000 0.5000 0.0000  12 Li 2.91-2.95
4 Ag 0.0000 0.0000 0.5000  8 Li 2.70

Values from the calculation:
Density of states at the Fermi level ... 3.17 states/eV/f.u.
E_form ... -0.039 eV per atom
Offset from the most stable computed form ... 20 kJ/mol of formula units



Entry 16:
Below is a relaxed structure of LiAl3Ag6, with properties calculated at the PBE-GGA level.

Cell lengths 10.2750, 2.9289, 12.0312 Å; angles 90.00, 109.87, 90.00 degrees
With the nearest neighbours (Å) after each atom.
Space group P2_1/m (No. 11)
Asymmetric unit:
1 Li 0.0808 0.2500 0.1880  8 Ag 2.59-2.90, 1 Al 2.83
2 Al 0.0072 0.2500 0.3940  7 Ag 2.66-2.86, 1 Li 2.83, 2 Al 2.93
3 Al 0.3769 0.2500 0.9988  7 Ag 2.72-2.86, 4 Al 2.92-2.93
4 Al 0.4766 0.2500 0.5934  4 Ag 2.65-2.80, 4 Al 2.86-2.93
5 Ag 0.1394 0.2500 0.8010  2 Li 2.74, 3 Al 2.74-2.77, 7 Ag 2.85-2.97
6 Ag 0.1440 0.7500 0.0144  3 Li 2.73-2.80, 2 Al 2.86, 6 Ag 2.93-3.01
7 Ag 0.2202 0.2500 0.5963  4 Al 2.65-2.79, 7 Ag 2.85-2.93
8 Ag 0.2469 0.7500 0.3953  5 Al 2.80-3.09, 2 Li 2.90, 6 Ag 2.92-2.99
9 Ag 0.3433 0.2500 0.2212  1 Li 2.59, 3 Al 2.78-2.81, 1 Ag 2.83
10 Ag 0.3925 0.7500 0.8043  3 Al 2.72-2.81, 7 Ag 2.83-2.97

Values from the calculation:
Density of states at the Fermi level ... 2.52 states/eV/f.u.
E_form ... -0.067 eV per atom



Entry 17:
Below is a relaxed structure of LiAl6Ag2, with properties calculated at the PBE-GGA level.

Cell lengths 2.9080, 2.9080, 21.1050 Å; angles 90.00, 90.00, 120.00 degrees
With the nearest neighbours (Å) after each atom.
Space group P-6m2 (No. 187)
Asymmetric unit:
1 Li 0.0000 0.0000 0.0000  6 Al 2.86, 6 Li 2.91
2 Al 0.0000 0.0000 0.2171  9 Al 2.82-2.91, 3 Ag 2.86
3 Al 0.0000 0.0000 0.4366  7 Al 2.67-2.91, 3 Ag 2.86
4 Al 0.6667 0.3333 0.1098  9 Al 2.82-2.91, 3 Li 2.86
5 Ag 0.6667 0.3333 0.3267  6 Al 2.86, 6 Ag 2.91

Values from the calculation:
Density of states at the Fermi level ... 2.73 states/eV/f.u.
E_form ... 0.005 eV per atom
Offset from the most stable computed form ... 0 kJ/mol of formula units



Entry 18:
Below is a relaxed structure of Li2Al2Ag, with properties calculated at the PBE-GGA level.

Cell lengths 3.5341, 3.5341, 13.8934 Å; angles 90.00, 90.00, 90.00 degrees
With the nearest neighbours (Å) after each atom.
Space group I4/mmm (No. 139)
Asymmetric unit:
1 Li 0.0000 0.5000 0.2500  4 Li 2.50, 4 Al 2.76
2 Al 0.0000 0.0000 0.0973  1 Al 2.70, 4 Li 2.76, 4 Ag 2.84
3 Ag 0.0000 0.0000 0.5000  8 Al 2.84

Values from the calculation:
Density of states at the Fermi level ... 1.52 states/eV/f.u.
E_form ... 0.058 eV per atom
Offset from the most stable computed form ... 137 kJ/mol of formula units



Entry 19:
Below is a relaxed structure of Li4Al2Ag3, with properties calculated at the PBE-GGA level.

Cell lengths 9.7970, 4.4836, 8.1633 Å; angles 90.00, 126.35, 90.00 degrees
With the nearest neighbours (Å) after each atom.
Space group C2/m (No. 12)
Asymmetric unit:
1 Li 0.1642 0.0000 0.1564  3 Li 2.67-2.73, 4 Ag 2.70-2.78, 1 Al 2.90
2 Li 0.2071 0.5000 0.3742  2 Ag 2.66-2.76, 4 Li 2.73-2.81, 2 Al 2.82-2.84
3 Al 0.0539 0.0000 0.7124  5 Ag 2.69-2.76, 3 Li 2.82-2.90, 1 Al 2.97
4 Ag 0.0000 0.5000 0.5000  4 Al 2.69, 4 Li 2.76-2.78
5 Ag 0.1171 0.5000 0.9442  4 Li 2.66-2.71, 3 Al 2.75-2.76, 1 Ag 2.93

Values from the calculation:
Density of states at the Fermi level ... 2.92 states/eV/f.u.
E_form ... -0.220 eV per atom



Entry 20:
Below is a relaxed structure of LiAlAg5, with properties calculated at the PBE-GGA level.

Cell lengths 9.4780, 5.7092, 10.1910 Å; angles 90.00, 111.08, 90.00 degrees
With the nearest neighbours (Å) after each atom.
Space group C2/c (No. 15)
Asymmetric unit:
1 Li 0.2500 0.2500 0.0000  6 Ag 2.65-2.94
2 Al 0.0000 0.0976 0.2500  7 Ag 2.58-2.78
3 Ag 0.0000 0.3535 0.7500  1 Al 2.58, 4 Ag 2.71-2.83, 2 Li 2.85
4 Ag 0.0917 0.3047 0.4933  1 Al 2.60, 2 Ag 2.80-2.86
5 Ag 0.2348 0.3815 0.2443  1 Li 2.65, 5 Ag 2.71-2.87, 2 Al 2.77-2.78

Values from the calculation:
Density of states at the Fermi level ... 2.14 states/eV/f.u.
E_form ... -0.025 eV per atom
Offset from the most stable computed form ... 24 kJ/mol of formula units



Entry 21:
Below is a relaxed structure of LiAl2Ag8, with properties calculated at the PBE-GGA level.

Cell lengths 14.2863, 4.2368, 6.5594 Å; angles 90.00, 108.92, 90.00 degrees
With the nearest neighbours (Å) after each atom.
Space group C2/m (No. 12)
Asymmetric unit:
1 Li 0.0000 0.0000 0.0000  12 Ag 2.77-2.97
2 Al 0.2245 0.5000 0.6441  10 Ag 2.71-3.01
3 Ag 0.0467 0.5000 0.7301  1 Al 2.78, 9 Ag 2.86-3.01, 2 Li 2.97
4 Ag 0.0985 0.0000 0.4592  3 Al 2.79-2.82, 1 Li 2.88, 8 Ag 2.89-3.03
5 Ag 0.1424 0.5000 0.2010  3 Al 2.76-2.81, 7 Ag 2.88-2.95, 2 Li 2.94
6 Ag 0.1797 0.0000 0.9246  3 Al 2.71-3.01, 1 Li 2.77, 8 Ag 2.86-2.95

Values from the calculation:
Density of states at the Fermi level ... 1.40 states/eV/f.u.
E_form ... -0.095 eV per atom
Offset from the most stable computed form ... 0 kJ/mol of formula units